A plane-wave DFT calculation with PBE-GGA was carried out for crystalline TiOs4Cl2 at its relaxed geometry.

```
TiOs4Cl2
1.0
-3.0047 -0.5408 3.4367
-3.2172 -1.2963 -3.0167
-1.3213 -6.8348 0.8436
Ti Os Cl
1 4 2
direct
0.0000 0.0000 0.0000
0.5000 0.0000 0.0000
0.7888 0.7888 0.4224
0.2112 0.2112 0.5776
0.0000 0.5000 0.0000
0.6106 0.6106 0.7788
0.3894 0.3894 0.2212
```

Values from the calculation:
DOS at the Fermi energy, states/eV/atom: 1.52
DFT total energy, eV per cell: -41.10
ΔE_f (raw), eV/atom: 2.201